No. 1
{"formula": "NaPH2O4", "functional": "PBE", "state": "optimized geometry", "m_tot_mub_per_cell": 0.00, "volume_a3_per_atom": 9.81, "polymorph_energy_mev_per_atom": 166, "sg": "I222 (23)", "lattice_angstrom": [[3.9752, 0.0000, 0.0000], [1.9876, 4.4648, 0.1350], [1.9876, 0.5004, 4.4388]], "species": ["O", "P", "Na", "H", "O", "O", "O", "H"], "frac_coords": [[0.3908, 0.2288, 0.4925], [0.5000, 0.5000, 0.5000], [0.0000, 0.0000, 0.0000], [0.1480, 0.3520, 0.3520], [0.8878, 0.4925, 0.2288], [0.6092, 0.5075, 0.7712], [0.1122, 0.7712, 0.5075], [0.8520, 0.6480, 0.6480]]}

=====

No. 2
{"formula": "Na2P2HO6", "functional": "PBE", "state": "optimized geometry", "m_tot_mub_per_cell": 0.00, "volume_a3_per_atom": 12.33, "sg": "C2/m (12)", "final_energy_ev_per_atom": -5.773, "lattice_angstrom": [[-4.6122, -0.0864, 2.0617], [3.7703, -4.0943, 2.0713], [0.8753, 5.0074, 2.1680]], "species": ["O", "P", "O", "O", "O", "Na", "Na", "P", "H", "O", "O"], "frac_coords": [[0.1751, 0.3501, 0.3561], [0.9802, 0.9603, 0.7721], [0.8249, 0.6499, 0.6439], [0.8008, 0.1110, 0.7620], [0.1992, 0.8890, 0.2380], [0.2959, 0.5917, 0.8196], [0.7041, 0.4083, 0.1804], [0.0198, 0.0397, 0.2279], [0.5000, 0.0000, 0.5000], [0.3102, 0.1110, 0.7620], [0.6898, 0.8890, 0.2380]]}

=====

No. 3
{"formula": "Na2PHO4", "functional": "PBE", "state": "optimized geometry", "m_tot_mub_per_cell": 0.00, "volume_a3_per_atom": 11.87, "polymorph_energy_mev_per_atom": 0, "sg": "P2_1/c (14)", "lattice_angstrom": [[-4.0629, 4.3432, 3.4831], [-0.8168, -3.8754, 3.8796], [7.1682, -0.1011, 8.4875]], "species": ["Na", "P", "O", "O", "Na", "H", "O", "O", "Na", "Na", "P", "O", "O", "O", "O", "O", "O", "H", "Na", "P", "Na", "H", "O", "O", "O", "H", "O", "Na", "O", "P", "Na", "O"], "frac_coords": [[0.7361, 0.6059, 0.8898], [0.7473, 0.3343, 0.1909], [0.4260, 0.7948, 0.8500], [0.2505, 0.7570, 0.6568], [0.7639, 0.6059, 0.3898], [0.9933, 0.0379, 0.2376], [0.2495, 0.7570, 0.1568], [0.2542, 0.3619, 0.3984], [0.2361, 0.3941, 0.6102], [0.5000, 0.0000, 0.0000], [0.7527, 0.3343, 0.6909], [0.5740, 0.2052, 0.1500], [0.4429, 0.7875, 0.3446], [0.5571, 0.2125, 0.6554], [0.9260, 0.2052, 0.6500], [0.7458, 0.6381, 0.6016], [0.0740, 0.7948, 0.3500], [0.4933, 0.9621, 0.2624], [0.2639, 0.3941, 0.1102], [0.2473, 0.6657, 0.3091], [0.0000, 0.0000, 0.5000], [0.0067, 0.9621, 0.7624], [0.7542, 0.6381, 0.1016], [0.2458, 0.3619, 0.8984], [0.9429, 0.2125, 0.1554], [0.5067, 0.0379, 0.7376], [0.7495, 0.2430, 0.3432], [0.5000, 0.0000, 0.5000], [0.0571, 0.7875, 0.8446], [0.2527, 0.6657, 0.8091], [0.0000, 0.0000, 0.0000], [0.7505, 0.2430, 0.8432]]}

=====

No. 4
{"formula": "NaPH4SO8", "functional": "PBE", "state": "optimized geometry", "m_tot_mub_per_cell": 0.13, "volume_a3_per_atom": 11.38, "sg": "P2_1 (4)", "final_energy_ev_per_atom": -5.793, "lattice_angstrom": [[6.8374, 0.0000, 0.0000], [0.0000, 5.4898, -0.0248], [0.0000, 0.7970, 9.0891]], "species": ["Na", "H", "H", "O", "Na", "P", "O", "S", "S", "O", "O", "O", "H", "O", "O", "O", "O", "H", "O", "O", "O", "O", "O", "H", "H", "H", "P", "O", "O", "H"], "frac_coords": [[0.8464, 0.9865, 0.4344], [0.4329, 0.8310, 0.2534], [0.4118, 0.4190, 0.1528], [0.6275, 0.2766, 0.5347], [0.3464, 0.0135, 0.5656], [0.6193, 0.1127, 0.1235], [0.1248, 0.0492, 0.0084], [0.1341, 0.5386, 0.3589], [0.6341, 0.4614, 0.6411], [0.8286, 0.1736, 0.1646], [0.6326, 0.7151, 0.5783], [0.1275, 0.7234, 0.4653], [0.5005, 0.9153, 0.9348], [0.3012, 0.5880, 0.2557], [0.9950, 0.6565, 0.9233], [0.3286, 0.8264, 0.8354], [0.4392, 0.4167, 0.7313], [0.8967, 0.4316, 0.2185], [0.6248, 0.9508, 0.9916], [0.5264, 0.9715, 0.2650], [0.9392, 0.5833, 0.2687], [0.0264, 0.0285, 0.7350], [0.8012, 0.4120, 0.7443], [0.9118, 0.5810, 0.8472], [0.9329, 0.1690, 0.7466], [0.0005, 0.0847, 0.0652], [0.1193, 0.8873, 0.8765], [0.4950, 0.3435, 0.0767], [0.1326, 0.2849, 0.4217], [0.3967, 0.5684, 0.7815]]}